# PBE-GGA MnCrTcPdRh, relaxed
data_MnCrTcPdRh
_chemical_formula_sum 'Mn1 Cr1 Tc1 Pd1 Rh1'
_cell_length_a 2.7342
_cell_length_b 4.6900
_cell_length_c 5.9446
_cell_angle_alpha 96.48
_cell_angle_beta 103.29
_cell_angle_gamma 106.87
_symmetry_space_group_name_H-M 'P 1'
_symmetry_Int_Tables_number 1
_symmetry_space_group_name_Hall 'P 1'
loop_
_atom_site_label
_atom_site_fract_x
_atom_site_fract_y
_atom_site_fract_z
Mn1 0.0000 0.0000 0.0000
Cr1 0.5942 0.3738 0.8109
Tc1 0.8088 0.1942 0.4219
Pd1 0.3983 0.5942 0.2001
Rh1 0.2028 0.7874 0.6185
# Formation energy = 0.88 kcal/mol of atoms
# Polymorph energy (0 for the lowest one) = 0.027 eV per atom
# Crystal system = triclinic
# DOS(E_F) = 5.3 states/eV/cell